# AlI4 (PBE-GGA, optimized geometry)
# - Uncorrected formation energy: -43.2 kJ per mole of atoms
# - Calculated total energy: -2.44 eV per atom
# - Magnetic moment: 0.00 μB per formula unit
# - Space group: C2/m
data_AlI4
_chemical_formula_sum 'Al2 I8'
_cell_length_a 7.095
_cell_length_b 7.095
_cell_length_c 12.313
_cell_angle_alpha 93.69
_cell_angle_beta 93.69
_cell_angle_gamma 120.46
_symmetry_space_group_name_H-M 'P 1'
_symmetry_Int_Tables_number 1
_symmetry_space_group_name_Hall 'P 1'
loop_
_atom_site_label
_atom_site_type_symbol
_atom_site_fract_x
_atom_site_fract_y
_atom_site_fract_z
Al1 Al 0.171 0.829 0.000
Al2 Al 0.829 0.171 0.000
I1 I 0.109 0.469 0.868
I2 I 0.173 0.173 0.128
I3 I 0.398 0.398 0.398
I4 I 0.469 0.109 0.868
I5 I 0.531 0.891 0.132
I6 I 0.602 0.602 0.602
I7 I 0.827 0.827 0.872
I8 I 0.891 0.531 0.132